# 1
{"formula": "Ac2HoPu", "functional": "PBE", "state": "relaxed", "magmom_total_mub_per_atom": 1.6401, "crystal_system": "tetragonal", "formation_energy_ev_per_atom": 0.201, "lattice": [[5.060, 0.000, 0.000], [0.000, 5.369, 0.000], [0.000, 0.000, 5.369]], "species": ["Ac", "Ac", "Ho", "Pu"], "fractional_positions": [[0.000, 0.000, 0.500], [0.000, 0.500, 0.000], [0.500, 0.000, 0.000], [0.500, 0.500, 0.500]]}

=====

# 2
{"formula": "AcHo2Pu", "functional": "PBE", "state": "relaxed", "magmom_total_mub_per_atom": 1.5585, "crystal_system": "trigonal", "formation_energy_ev_per_atom": 0.166, "lattice": [[3.636, 0.000, 0.000], [1.818, 3.149, 0.000], [1.818, 1.050, 11.684]], "species": ["Ac", "Ho", "Ho", "Pu"], "fractional_positions": [[0.501, 0.501, 0.498], [0.078, 0.078, 0.766], [0.255, 0.255, 0.235], [0.666, 0.666, 0.002]]}

=====

# 3
{"formula": "Ac2HoPuS6", "functional": "PBE", "state": "relaxed", "raw_formation_energy_ev_per_atom": -1.97, "magmom_total_mub_per_atom": 0.5000, "crystal_system": "trigonal", "lattice": [[-6.228, 0.019, -3.774], [-0.066, -2.244, -6.928], [-3.264, -6.558, -1.673]], "species": ["Ac", "Ac", "Ho", "Pu", "S", "S", "S", "S", "S", "S"], "fractional_positions": [[0.529, 0.529, 0.412], [0.029, 0.029, 0.912], [0.316, 0.316, 0.052], [0.816, 0.816, 0.552], [0.598, 0.182, 0.262], [0.182, 0.958, 0.262], [0.958, 0.598, 0.262], [0.453, 0.678, 0.767], [0.678, 0.103, 0.767], [0.103, 0.453, 0.767]]}

=====

# 4
{"formula": "AcHoPu2S4", "functional": "PBE", "state": "relaxed", "raw_formation_energy_ev_per_atom": -1.85, "magmom_total_mub_per_atom": 1.4372, "crystal_system": "monoclinic", "lattice": [[-3.862, 0.348, -1.062], [-1.424, -6.056, 3.195], [-1.723, 1.270, 6.684]], "species": ["Ac", "Ho", "Pu", "Pu", "S", "S", "S", "S"], "fractional_positions": [[0.500, 0.500, 0.000], [0.000, 0.500, 0.500], [0.000, 0.000, 0.000], [0.500, 0.000, 0.500], [0.000, 0.764, 0.730], [0.000, 0.236, 0.270], [0.500, 0.753, 0.264], [0.500, 0.247, 0.736]]}